Material: Tm6Cd2Au
Method: DFT, PBE-GGA
State: relaxed

Summary:
Formation energy from the elements = -0.205 eV/atom

a = 6.106 Å, b = 9.020 Å, c = 10.319 Å
α = 90.00°, β = 119.27°, γ = 90.00°
Fractional positions:
1 Tm 0.048 0.177 0.454
2 Tm 0.048 0.323 0.954
3 Tm 0.358 0.678 0.444
4 Tm 0.358 0.822 0.944
5 Tm 0.407 0.031 0.300
6 Tm 0.407 0.469 0.800
7 Tm 0.593 0.531 0.200
8 Tm 0.593 0.969 0.700
9 Tm 0.642 0.178 0.056
10 Tm 0.642 0.322 0.556
11 Tm 0.952 0.677 0.046
12 Tm 0.952 0.823 0.546
13 Cd 0.147 0.114 0.757
14 Cd 0.147 0.386 0.257
15 Cd 0.853 0.614 0.743
16 Cd 0.853 0.886 0.243
17 Au 0.000 0.000 0.000
18 Au 0.000 0.500 0.500